Record 1
VASP calculation (PBE) on a relaxed KNd2I8 crystal.

Calculated values
Density in g/cm3: 4.03
Symmetry: C2/m, No. 12
Raw formation energy in eV/f.u.: -13.4

Cell: 8.0428 8.0428 8.9738 Å, 98.07 98.07 75.46°
Last column: nearest neighbours and their distance in Å.
Element x y z (fractional)
K 0.0000 0.0000 0.0000  6 I 3.50-3.77
Nd 0.3200 0.3200 0.5424  7 I 3.06-3.27
Nd 0.6800 0.6800 0.4576  7 I 3.06-3.27
I 0.0516 0.6827 0.6485  2 Nd 3.23-3.27
I 0.2294 0.2294 0.8358  1 Nd 3.06
I 0.3173 0.9484 0.3515  2 Nd 3.23-3.27
I 0.4411 0.4411 0.2666  2 Nd 3.14-3.21
I 0.5589 0.5589 0.7334  2 Nd 3.14-3.21
I 0.6827 0.0516 0.6485  2 Nd 3.23-3.27
I 0.7706 0.7706 0.1642  1 Nd 3.06
I 0.9484 0.3173 0.3515  2 Nd 3.23-3.27

=====

Record 2
VASP calculation (PBE) on a relaxed KNdI3 crystal.

Calculated values
Density in g/cm3: 3.87
Symmetry: Pm-3m, No. 221
Raw formation energy in eV/f.u.: -6.0

Cell: 6.2317 6.2317 6.2317 Å, 90.00 90.00 90.00°
Last column: nearest neighbours and their distance in Å.
Element x y z (fractional)
K 0.0000 0.0000 0.0000  12 I 4.41
Nd 0.5000 0.5000 0.5000  6 I 3.12
I 0.0000 0.5000 0.5000  2 Nd 3.12
I 0.5000 0.0000 0.5000  2 Nd 3.12
I 0.5000 0.5000 0.0000  2 Nd 3.12

=====

Record 3
VASP calculation (PBE) on a relaxed K2NdIO6 crystal.

Calculated values
Density in g/cm3: 4.84
Symmetry: R-3, No. 148
Raw formation energy in eV/f.u.: -16.6

Cell: 6.0026 6.0026 6.0026 Å, 60.00 60.00 60.00°
Last column: nearest neighbours and their distance in Å.
Element x y z (fractional)
K 0.2500 0.2500 0.2500  12 O 3.00-3.02
K 0.7500 0.7500 0.7500  12 O 3.00-3.02
Nd 0.0000 0.0000 0.0000  6 O 2.34
I 0.5000 0.5000 0.5000  6 O 1.91
O 0.2738 0.2770 0.7246  1 I 1.91
O 0.2754 0.7262 0.7230  1 I 1.91
O 0.2770 0.7246 0.2738  1 I 1.91
O 0.7230 0.2754 0.7262  1 I 1.91
O 0.7246 0.2738 0.2770  1 I 1.91
O 0.7262 0.7230 0.2754  1 I 1.91

=====

Record 4
VASP calculation (PBE) on a relaxed KNdPuI6 crystal.

Calculated values
Density in g/cm3: 4.43
Symmetry: P-31c, No. 163
Raw formation energy in eV/f.u.: -11.7

Cell: 8.0575 8.0575 15.8379 Å, 90.00 90.00 120.00°
Last column: nearest neighbours and their distance in Å.
Element x y z (fractional)
K 0.0000 0.0000 0.0000  6 I 3.60
K 0.0000 0.0000 0.5000  6 I 3.60
Nd 0.3333 0.6667 0.2500  6 I 3.15
Nd 0.6667 0.3333 0.7500  6 I 3.15
Pu 0.3333 0.6667 0.7500  6 I 3.20
Pu 0.6667 0.3333 0.2500  6 I 3.20
I 0.0047 0.3638 0.1334  1 Nd 3.15, 1 Pu 3.20
I 0.0047 0.6408 0.3666  1 Nd 3.15, 1 Pu 3.20
I 0.3592 0.3638 0.3666  1 Nd 3.15, 1 Pu 3.20
I 0.3592 0.9953 0.1334  1 Nd 3.15, 1 Pu 3.20
I 0.3638 0.0047 0.6334  1 Nd 3.15, 1 Pu 3.20
I 0.3638 0.3592 0.8666  1 Nd 3.15, 1 Pu 3.20
I 0.6362 0.6408 0.1334  1 Nd 3.15, 1 Pu 3.20
I 0.6362 0.9953 0.3666  1 Nd 3.15, 1 Pu 3.20
I 0.6408 0.0047 0.8666  1 Nd 3.15, 1 Pu 3.20
I 0.6408 0.6362 0.6334  1 Nd 3.15, 1 Pu 3.20
I 0.9953 0.3592 0.6334  1 Nd 3.15, 1 Pu 3.20
I 0.9953 0.6362 0.8666  1 Nd 3.15, 1 Pu 3.20

=====

Record 5
VASP calculation (PBE) on a relaxed K2RbNdI6 crystal.

Calculated values
Density in g/cm3: 3.39
Symmetry: R3, No. 146
Energy above the lowest structure with this stoichiometry in meV per atom: 0.0
Raw formation energy in eV/f.u.: -14.6

Cell: 9.2883 9.2883 9.2883 Å, 56.71 56.71 56.71°
Last column: nearest neighbours and their distance in Å.
Element x y z (fractional)
K 0.0000 0.0000 0.0000  6 I 3.59-3.65
K 0.4888 0.4888 0.4888  6 I 3.51-3.65
Rb 0.2904 0.2904 0.2904  6 I 3.63-3.79
Nd 0.8004 0.8004 0.8004  6 I 3.14-3.15
I 0.0424 0.4440 0.6971  1 Nd 3.14
I 0.1649 0.8836 0.6052  1 Nd 3.15, 1 K 3.51
I 0.4440 0.6971 0.0424  1 Nd 3.14
I 0.6052 0.1649 0.8836  1 Nd 3.15, 1 K 3.51
I 0.6971 0.0424 0.4440  1 Nd 3.14
I 0.8836 0.6052 0.1649  1 Nd 3.15, 1 K 3.51

=====

Record 6
VASP calculation (PBE) on a relaxed K2RbNdI6 crystal.

Calculated values
Density in g/cm3: 3.13
Symmetry: Fm-3m, No. 225
Energy above the lowest structure with this stoichiometry in meV per atom: 107.0
Raw formation energy in eV/f.u.: -13.5

Cell: 9.2926 9.2926 9.2926 Å, 60.00 60.00 60.00°
Last column: nearest neighbours and their distance in Å.
Element x y z (fractional)
K 0.2500 0.2500 0.2500  12 I 4.65
K 0.7500 0.7500 0.7500  12 I 4.65
Rb 0.0000 0.0000 0.0000  6 I 3.47
Nd 0.5000 0.5000 0.5000  6 I 3.10
I 0.2639 0.2639 0.7361  1 Nd 3.10, 1 Rb 3.47
I 0.2639 0.7361 0.2639  1 Nd 3.10, 1 Rb 3.47
I 0.2639 0.7361 0.7361  1 Nd 3.10, 1 Rb 3.47
I 0.7361 0.2639 0.2639  1 Nd 3.10, 1 Rb 3.47
I 0.7361 0.2639 0.7361  1 Nd 3.10, 1 Rb 3.47
I 0.7361 0.7361 0.2639  1 Nd 3.10, 1 Rb 3.47

=====

Record 7
VASP calculation (PBE) on a relaxed KNdSeI crystal.

Calculated values
Density in g/cm3: 4.72
Symmetry: R3m, No. 160
Raw formation energy in eV/f.u.: -5.6

Cell: 8.8166 8.8166 8.8166 Å, 28.40 28.40 28.40°
Last column: nearest neighbours and their distance in Å.
Element x y z (fractional)
K 0.0000 0.0000 0.0000  3 Se 3.20
Nd 0.1914 0.1914 0.1914  3 Se 2.97, 3 I 3.30
Se 0.5880 0.5880 0.5880  3 Nd 2.97, 3 K 3.20
I 0.7730 0.7730 0.7730  3 Nd 3.30, 3 K 3.68

=====

Record 8
VASP calculation (PBE) on a relaxed KSrNdI6 crystal.

Calculated values
Density in g/cm3: 3.74
Symmetry: P-31c, No. 163
Raw formation energy in eV/f.u.: -13.8

Cell: 8.3066 8.3066 15.3573 Å, 90.00 90.00 120.00°
Last column: nearest neighbours and their distance in Å.
Element x y z (fractional)
K 0.0000 0.0000 0.0000  6 I 3.63
K 0.0000 0.0000 0.5000  6 I 3.63
Sr 0.3333 0.6667 0.2500  6 I 3.30
Sr 0.6667 0.3333 0.7500  6 I 3.30
Nd 0.3333 0.6667 0.7500  6 I 3.14
Nd 0.6667 0.3333 0.2500  6 I 3.14
I 0.0148 0.3704 0.6311  1 Nd 3.14, 1 Sr 3.30
I 0.0148 0.6444 0.8689  1 Nd 3.14, 1 Sr 3.30
I 0.3556 0.3704 0.8689  1 Nd 3.14, 1 Sr 3.30
I 0.3556 0.9852 0.6311  1 Nd 3.14, 1 Sr 3.30
I 0.3704 0.0148 0.1311  1 Nd 3.14, 1 Sr 3.30
I 0.3704 0.3556 0.3689  1 Nd 3.14, 1 Sr 3.30
I 0.6296 0.6444 0.6311  1 Nd 3.14, 1 Sr 3.30
I 0.6296 0.9852 0.8689  1 Nd 3.14, 1 Sr 3.30
I 0.6444 0.0148 0.3689  1 Nd 3.14, 1 Sr 3.30
I 0.6444 0.6296 0.1311  1 Nd 3.14, 1 Sr 3.30
I 0.9852 0.3556 0.1311  1 Nd 3.14, 1 Sr 3.30
I 0.9852 0.6296 0.3689  1 Nd 3.14, 1 Sr 3.30

=====

Q: What is the density in the fourth record?
A: 4.43 g/cm3

=====

Q: What is the formula in the second record?
A: KNdI3

=====

Q: Number 7 is which compound?
A: KNdSeI

=====

Q: Which formula does entry 6 have?
A: K2RbNdI6